Arrangement P

Entry from the Alexandria database: a relaxed structure of Nd2GdHg (GGA-PBE).

a b c (Å): 3.747 3.747 8.865
angles (deg): 90.00 90.00 90.00
Element x y z (fractional)
Nd  0.000  0.000  0.223
Nd  0.000  0.000  0.777
Gd  0.500  0.500  0.500
Hg  0.500  0.500  0.000

Magnetization, μB per cell: 7.5

=====

Arrangement Q

Entry from the Alexandria database: a relaxed structure of Nd2GdHg (GGA-PBE).

a b c (Å): 7.816 7.816 7.816
angles (deg): 90.00 90.00 90.00
Element x y z (fractional)
Nd  0.250  0.250  0.250
Nd  0.250  0.250  0.750
Nd  0.250  0.750  0.250
Nd  0.250  0.750  0.750
Nd  0.750  0.250  0.250
Nd  0.750  0.250  0.750
Nd  0.750  0.750  0.250
Nd  0.750  0.750  0.750
Gd  0.000  0.000  0.000
Gd  0.000  0.500  0.500
Gd  0.500  0.000  0.500
Gd  0.500  0.500  0.000
Hg  0.000  0.000  0.500
Hg  0.000  0.500  0.000
Hg  0.500  0.000  0.000
Hg  0.500  0.500  0.500

Magnetization, μB per cell: 31.3

=====

Arrangement R

Entry from the Alexandria database: a relaxed structure of Nd2GdHg (GGA-PBE).

a b c (Å): 3.689 3.689 32.671
angles (deg): 90.00 90.00 120.00
Element x y z (fractional)
Nd  0.000  0.000  0.243
Nd  0.000  0.000  0.757
Nd  0.333  0.667  0.423
Nd  0.333  0.667  0.910
Nd  0.667  0.333  0.090
Nd  0.667  0.333  0.577
Gd  0.000  0.000  0.000
Gd  0.333  0.667  0.667
Gd  0.667  0.333  0.333
Hg  0.000  0.000  0.500
Hg  0.333  0.667  0.167
Hg  0.667  0.333  0.833

Magnetization, μB per cell: 21.7

=====

Arrangement S

Entry from the Alexandria database: a relaxed structure of Nd2GdHg (GGA-PBE).

a b c (Å): 5.618 5.618 3.805
angles (deg): 90.00 90.00 90.00
Element x y z (fractional)
Nd  0.000  0.500  0.000
Nd  0.500  0.000  0.000
Gd  0.000  0.000  0.500
Hg  0.500  0.500  0.500

Magnetization, μB per cell: 7.1

=====

Order of stability, best first: arrangement P, arrangement S, arrangement R, arrangement Q

=====

Arrangement P

Entry from the Alexandria database: a relaxed structure of NdGd2Hg (GGA-PBE).

a b c (Å): 3.666 3.666 9.004
angles (deg): 90.00 90.00 90.00
Element x y z (fractional)
Nd  0.000  0.000  0.000
Gd  0.500  0.500  0.282
Gd  0.500  0.500  0.718
Hg  0.000  0.000  0.500

Magnetization, μB per cell: 14.9

=====

Arrangement Q

Entry from the Alexandria database: a relaxed structure of NdGd2Hg (GGA-PBE).

a b c (Å): 7.712 7.712 7.712
angles (deg): 90.00 90.00 90.00
Element x y z (fractional)
Nd  0.000  0.000  0.000
Nd  0.000  0.500  0.500
Nd  0.500  0.000  0.500
Nd  0.500  0.500  0.000
Gd  0.250  0.250  0.250
Gd  0.250  0.250  0.750
Gd  0.250  0.750  0.250
Gd  0.250  0.750  0.750
Gd  0.750  0.250  0.250
Gd  0.750  0.250  0.750
Gd  0.750  0.750  0.250
Gd  0.750  0.750  0.750
Hg  0.000  0.000  0.500
Hg  0.000  0.500  0.000
Hg  0.500  0.000  0.000
Hg  0.500  0.500  0.500

Magnetization, μB per cell: 66.7

=====

Arrangement R

Entry from the Alexandria database: a relaxed structure of NdGd2Hg (GGA-PBE).

a b c (Å): 4.875 4.875 4.905
angles (deg): 90.00 90.00 90.00
Element x y z (fractional)
Nd  0.000  0.000  0.000
Gd  0.000  0.500  0.500
Gd  0.500  0.000  0.500
Hg  0.500  0.500  0.000

Magnetization, μB per cell: 15.5

=====

Order of stability, best first: arrangement P, arrangement R, arrangement Q

=====

Arrangement P

Entry from the Alexandria database: a relaxed structure of Gd2PaHg (GGA-PBE).

a b c (Å): 3.472 3.472 8.989
angles (deg): 90.00 90.00 90.00
Element x y z (fractional)
Gd  0.000  0.000  0.239
Gd  0.000  0.000  0.761
Pa  0.500  0.500  0.500
Hg  0.500  0.500  0.000

Magnetization, μB per cell: 13.8

=====

Arrangement Q

Entry from the Alexandria database: a relaxed structure of Gd2PaHg (GGA-PBE).

a b c (Å): 3.419 3.419 35.209
angles (deg): 90.00 90.00 120.00
Element x y z (fractional)
Gd  0.000  0.000  0.090
Gd  0.000  0.000  0.910
Gd  0.333  0.667  0.576
Gd  0.333  0.667  0.757
Gd  0.667  0.333  0.243
Gd  0.667  0.333  0.424
Pa  0.000  0.000  0.500
Pa  0.333  0.667  0.167
Pa  0.667  0.333  0.833
Hg  0.000  0.000  0.000
Hg  0.333  0.667  0.667
Hg  0.667  0.333  0.333

Magnetization, μB per cell: 43.6

=====

Order of stability, best first: arrangement P, arrangement Q

=====

Arrangement P

Entry from the Alexandria database: a relaxed structure of GdPaHg (GGA-PBE).

a b c (Å): 3.249 3.249 14.785
angles (deg): 90.00 90.00 90.00
Element x y z (fractional)
Gd  0.000  0.000  0.000
Gd  0.500  0.500  0.500
Pa  0.000  0.000  0.323
Pa  0.500  0.500  0.823
Hg  0.000  0.000  0.659
Hg  0.500  0.500  0.159

Magnetization, μB per cell: 13.7

=====

Arrangement Q

Entry from the Alexandria database: a relaxed structure of GdPaHg (GGA-PBE).

a b c (Å): 5.297 5.297 3.041
angles (deg): 90.00 90.00 120.00
Element x y z (fractional)
Gd  0.000  0.000  0.000
Pa  0.667  0.333  0.000
Hg  0.333  0.667  0.500

Magnetization, μB per cell: 6.7

=====

Order of stability, best first: arrangement P, arrangement Q